# TaVFeO6 (PBE with a Hubbard U, optimized geometry)
# Electronic total energy, eV per atom: -8.143
# Density of states at the Fermi level, states/eV/atom: 0.40
# Magnetic moment, μB per formula unit: 6.00
data_TaVFeO6
_chemical_formula_sum 'Ta2 V2 Fe2 O12'
_symmetry_space_group_name_H-M 'P -3 1 c'
_symmetry_Int_Tables_number 163
_symmetry_space_group_name_Hall '-P 3 2c'
_cell_length_a 5.0654
_cell_length_b 5.0654
_cell_length_c 8.9071
_cell_angle_alpha 90.00
_cell_angle_beta 90.00
_cell_angle_gamma 120.00
loop_
_atom_site_label
_atom_site_type_symbol
_atom_site_fract_x
_atom_site_fract_y
_atom_site_fract_z
Ta1 Ta 0.3333 0.6667 0.2500
V1 V 0.3333 0.6667 0.7500
Fe1 Fe 0.0000 0.0000 0.0000
O1 O 0.0045 0.3416 0.6302